[1]
PBE NaAlSiNi, optimized geometry; excess energy over the best structure of this formula in the dataset = 0 meV/atom; space group = No. 216; total magnetic moment = 0.00 μB/f.u.; electronic total energy = -15.64 eV per cell
1.0
-0.752 -3.048 -2.977
-2.739 0.785 -3.256
1.508 0.489 -4.026
Al Na Ni Si
1 1 1 1
Direct
0.500 0.500 0.500
0.750 0.750 0.750
0.250 0.250 0.250
0.000 0.000 0.000

[2]
PBE KBaPm, optimized geometry; excess energy over the best structure of this formula in the dataset = 0 meV/atom; space group = No. 216; total magnetic moment = 2.90 μB/f.u.; electronic total energy = -5.09 eV per cell
1.0
0.000 4.586 4.586
4.586 0.000 4.586
4.586 4.586 0.000
Ba K Pm
1 1 1
Direct
0.250 0.250 0.250
0.750 0.750 0.750
0.000 0.000 0.000

[3]
PBE Ta2AlCo2Bi, optimized geometry; space group = No. 122; total magnetic moment = 0.00 μB/f.u.; electronic total energy = -93.38 eV per cell
1.0
-2.374 0.962 6.774
-4.632 5.565 0.149
0.325 -5.889 -4.203
Al Bi Co Ta
2 2 4 4
Direct
0.000 0.000 0.000
0.750 0.250 0.500
0.500 0.500 0.000
0.250 0.750 0.500
0.639 0.125 0.014
0.375 0.361 0.486
0.875 0.889 0.514
0.111 0.625 0.986
0.241 0.241 0.000
0.759 0.759 0.000
0.509 0.009 0.500
0.991 0.491 0.500